VASP calculation (PBE) on crystalline La2Ti3CuPt12 at its relaxed geometry.

The structure in CIF format:
```
data_La2Ti3CuPt12
_space_group_name_H-M_alt 'R -3 m'
_space_group_IT_number 166
_space_group_name_Hall '-R 3 2"'
_cell_length_a 8.4343
_cell_length_b 8.4343
_cell_length_c 18.2298
_cell_angle_alpha 90.00
_cell_angle_beta 90.00
_cell_angle_gamma 120.00
loop_
_atom_site_label
_atom_site_type_symbol
_atom_site_fract_x
_atom_site_fract_y
_atom_site_fract_z
_atom_site_occupancy
La1 La 0.0000 0.0000 0.1210 1
Ti1 Ti 0.0000 0.5000 0.0000 1
Cu1 Cu 0.0000 0.0000 0.5000 1
Pt1 Pt 0.0006 0.5003 0.1331 1
Pt2 Pt 0.0095 0.5047 0.3775 1
```

Output
The calculation puts the formation enthalpy at 0 K at -0.40 eV/atom. The value obtained for the density of states at the Fermi level is 0.550 states/eV/atom.